Compound: BaPbW2
Source: Alexandria via LeMat-Bulk
Functional: PBE-GGA
Structure: relaxed

The space group is P4/mmm (No. 123) and the conventional cell measures 4.3923, 4.3923 and 4.9546 Å, with angles of 90.00, 90.00 and 90.00 degrees. The distinct sites, in fractional coordinates, are Ba at (0.0000, 0.0000, 0.0000), Pb at (0.5000, 0.5000, 0.0000) and W at (0.0000, 0.5000, 0.5000).

Its formation energy is 1.69 eV per atom. The calculation puts the total moment at 0.004 Bohr magnetons per cell.